# Tl5Te2O | Alexandria via LeMat-Bulk | PBE | optimized geometry
# Formation energy without anion corrections = -0.25 eV/atom
# Symmetry = Cmcm, No. 63
# Total moment = 0.000 μB/atom
data_Tl5Te2O
_chemical_formula_sum 'Tl10 Te4 O2'
_cell_length_a 8.6535
_cell_length_b 8.6535
_cell_length_c 13.0392
_cell_angle_alpha 90.00
_cell_angle_beta 90.00
_cell_angle_gamma 137.84
_space_group_name_H-M_alt 'P 1'
_space_group_IT_number 1
loop_
_space_group_symop_operation_xyz
'x,y,z'
loop_
_atom_site_label
_atom_site_type_symbol
_atom_site_fract_x
_atom_site_fract_y
_atom_site_fract_z
_atom_site_occupancy
Tl1 Tl 0.0666 0.9334 0.6230 1
Tl2 Tl 0.0666 0.9334 0.8770 1
Tl3 Tl 0.2881 0.7119 0.6091 1
Tl4 Tl 0.2881 0.7119 0.8909 1
Tl5 Tl 0.3170 0.6830 0.2500 1
Tl6 Tl 0.6830 0.3170 0.7500 1
Tl7 Tl 0.7119 0.2881 0.1091 1
Tl8 Tl 0.7119 0.2881 0.3909 1
Tl9 Tl 0.9334 0.0666 0.1230 1
Tl10 Tl 0.9334 0.0666 0.3770 1
Te1 Te 0.1642 0.8358 0.0928 1
Te2 Te 0.1642 0.8358 0.4072 1
Te3 Te 0.8358 0.1642 0.5928 1
Te4 Te 0.8358 0.1642 0.9072 1
O1 O 0.1836 0.8164 0.7500 1
O2 O 0.8164 0.1836 0.2500 1

# TlTe3O | Alexandria via LeMat-Bulk | PBE | optimized geometry
# Formation energy without anion corrections = 0.02 eV/atom
# Symmetry = Pm-3m, No. 221
# Total moment = 0.000 μB/atom
data_TlTe3O
_chemical_formula_sum 'Tl1 Te3 O1'
_cell_length_a 4.9817
_cell_length_b 4.9817
_cell_length_c 4.9817
_cell_angle_alpha 90.00
_cell_angle_beta 90.00
_cell_angle_gamma 90.00
_space_group_name_H-M_alt 'P 1'
_space_group_IT_number 1
loop_
_space_group_symop_operation_xyz
'x,y,z'
loop_
_atom_site_label
_atom_site_type_symbol
_atom_site_fract_x
_atom_site_fract_y
_atom_site_fract_z
_atom_site_occupancy
Tl1 Tl 0.0000 0.0000 0.0000 1
Te1 Te 0.0000 0.5000 0.5000 1
Te2 Te 0.5000 0.0000 0.5000 1
Te3 Te 0.5000 0.5000 0.0000 1
O1 O 0.5000 0.5000 0.5000 1

# TlTe6O12 | Alexandria via LeMat-Bulk | PBE | optimized geometry
# Formation energy without anion corrections = -0.77 eV/atom
# Symmetry = R-3m, No. 166
# Total moment = 0.000 μB/atom
data_TlTe6O12
_chemical_formula_sum 'Tl1 Te6 O12'
_cell_length_a 7.1731
_cell_length_b 7.1731
_cell_length_c 7.1731
_cell_angle_alpha 103.08
_cell_angle_beta 103.08
_cell_angle_gamma 103.08
_space_group_name_H-M_alt 'P 1'
_space_group_IT_number 1
loop_
_space_group_symop_operation_xyz
'x,y,z'
loop_
_atom_site_label
_atom_site_type_symbol
_atom_site_fract_x
_atom_site_fract_y
_atom_site_fract_z
_atom_site_occupancy
Tl1 Tl 0.0000 0.0000 0.0000 1
Te1 Te 0.1907 0.1907 0.5344 1
Te2 Te 0.1907 0.5344 0.1907 1
Te3 Te 0.4656 0.8093 0.8093 1
Te4 Te 0.5344 0.1907 0.1907 1
Te5 Te 0.8093 0.4656 0.8093 1
Te6 Te 0.8093 0.8093 0.4656 1
O1 O 0.1012 0.3509 0.3509 1
O2 O 0.1100 0.5000 0.8900 1
O3 O 0.1100 0.8900 0.5000 1
O4 O 0.3509 0.1012 0.3509 1
O5 O 0.3509 0.3509 0.1012 1
O6 O 0.5000 0.1100 0.8900 1
O7 O 0.5000 0.8900 0.1100 1
O8 O 0.6491 0.6491 0.8988 1
O9 O 0.6491 0.8988 0.6491 1
O10 O 0.8900 0.1100 0.5000 1
O11 O 0.8900 0.5000 0.1100 1
O12 O 0.8988 0.6491 0.6491 1

# Tl2TeO | Alexandria via LeMat-Bulk | PBE | optimized geometry
# Formation energy without anion corrections = -0.27 eV/atom
# Symmetry = I-42d, No. 122
# Total moment = 0.000 μB/atom
data_Tl2TeO
_chemical_formula_sum 'Tl4 Te2 O2'
_cell_length_a 6.9296
_cell_length_b 6.9296
_cell_length_c 6.9296
_cell_angle_alpha 121.04
_cell_angle_beta 121.04
_cell_angle_gamma 88.21
_space_group_name_H-M_alt 'P 1'
_space_group_IT_number 1
loop_
_space_group_symop_operation_xyz
'x,y,z'
loop_
_atom_site_label
_atom_site_type_symbol
_atom_site_fract_x
_atom_site_fract_y
_atom_site_fract_z
_atom_site_occupancy
Tl1 Tl 0.0437 0.6250 0.9187 1
Tl2 Tl 0.3750 0.2937 0.4187 1
Tl3 Tl 0.7063 0.1250 0.0813 1
Tl4 Tl 0.8750 0.9563 0.5813 1
Te1 Te 0.2500 0.7500 0.5000 1
Te2 Te 0.5000 0.5000 0.0000 1
O1 O 0.0000 0.0000 0.0000 1
O2 O 0.7500 0.2500 0.5000 1

# TlTeO4 | Alexandria via LeMat-Bulk | PBE | optimized geometry
# Formation energy without anion corrections = -0.80 eV/atom
# Symmetry = P2_1/c, No. 14
# Total moment = 0.000 μB/atom
data_TlTeO4
_chemical_formula_sum 'Tl2 Te2 O8'
_cell_length_a 6.1125
_cell_length_b 5.0559
_cell_length_c 5.9167
_cell_angle_alpha 90.00
_cell_angle_beta 110.32
_cell_angle_gamma 90.00
_space_group_name_H-M_alt 'P 1'
_space_group_IT_number 1
loop_
_space_group_symop_operation_xyz
'x,y,z'
loop_
_atom_site_label
_atom_site_type_symbol
_atom_site_fract_x
_atom_site_fract_y
_atom_site_fract_z
_atom_site_occupancy
Tl1 Tl 0.0000 0.0000 0.0000 1
Tl2 Tl 0.0000 0.5000 0.5000 1
Te1 Te 0.5000 0.0000 0.5000 1
Te2 Te 0.5000 0.5000 0.0000 1
O1 O 0.1774 0.1600 0.3742 1
O2 O 0.1774 0.3400 0.8742 1
O3 O 0.3754 0.7182 0.6838 1
O4 O 0.3754 0.7818 0.1838 1
O5 O 0.6246 0.2182 0.8162 1
O6 O 0.6246 0.2818 0.3162 1
O7 O 0.8226 0.6600 0.1258 1
O8 O 0.8226 0.8400 0.6258 1

# Tl3TeO3 | Alexandria via LeMat-Bulk | PBE | optimized geometry
# Formation energy without anion corrections = -0.72 eV/atom
# Symmetry = C2/m, No. 12
# Total moment = 0.000 μB/atom
data_Tl3TeO3
_chemical_formula_sum 'Tl6 Te2 O6'
_cell_length_a 7.4063
_cell_length_b 7.4063
_cell_length_c 7.4723
_cell_angle_alpha 113.19
_cell_angle_beta 113.19
_cell_angle_gamma 62.43
_space_group_name_H-M_alt 'P 1'
_space_group_IT_number 1
loop_
_space_group_symop_operation_xyz
'x,y,z'
loop_
_atom_site_label
_atom_site_type_symbol
_atom_site_fract_x
_atom_site_fract_y
_atom_site_fract_z
_atom_site_occupancy
Tl1 Tl 0.2315 0.7685 0.0000 1
Tl2 Tl 0.2577 0.2577 0.0029 1
Tl3 Tl 0.2592 0.7408 0.5000 1
Tl4 Tl 0.7408 0.2592 0.5000 1
Tl5 Tl 0.7423 0.7423 0.9971 1
Tl6 Tl 0.7685 0.2315 0.0000 1
Te1 Te 0.2466 0.2466 0.5197 1
Te2 Te 0.7534 0.7534 0.4803 1
O1 O 0.0713 0.4381 0.6998 1
O2 O 0.0774 0.0774 0.3570 1
O3 O 0.4381 0.0713 0.6998 1
O4 O 0.5619 0.9287 0.3002 1
O5 O 0.9226 0.9226 0.6430 1
O6 O 0.9287 0.5619 0.3002 1